DFT (PBE) results for NaU2S4 after structural relaxation.

Cell lengths 3.9233, 6.7682, 13.3566 Å; angles 90.00, 90.00, 106.85 degrees
Site moments in Bohr magnetons follow the coordinates.
Element x y z (fractional)
Na 0.6077 0.2154 0.7500  0.00
U 0.1335 0.2670 0.4316  2.32
S 0.9477 0.8954 0.7500  -0.07
S 0.2305 0.4610 0.6130  -0.07
U 0.8665 0.7330 0.5684  2.32
U 0.8665 0.7330 0.9316  2.32
S 0.5000 0.0000 0.0000  -0.09
U 0.1335 0.2670 0.0684  2.32
S 0.7695 0.5390 0.1130  -0.07
S 0.5000 0.0000 0.5000  -0.09
S 0.2305 0.4610 0.8870  -0.07
S 0.7695 0.5390 0.3870  -0.07
S 0.0523 0.1046 0.2500  -0.07
Na 0.3923 0.7846 0.2500  0.00

Computed properties:
SG ... Cmcm, No. 63
ΔE_f (raw) ... -9.5 eV/f.u.
Electronic total energy ... -7.124 eV/atom
Magnetization ... 4.90 μB per formula unit